(1)
12
Lattice="9.256 0.000 0.000 0.000 4.126 0.000 -3.619 0.000 9.425" Properties=species:S:1:pos:R:3 comment="CsHoMgS3 PBE-GGA relaxed" m_tot_mub_per_fu=0.00 spacegroup="No. 11" density_g_cm3=3.9 dft_energy_ev_per_atom=-4.91 pbc="T T T"
Cs 1.173 1.031 2.260
Cs 4.463 3.094 7.165
Ho -0.057 3.094 8.185
Ho 5.694 1.031 1.240
Mg -1.428 1.031 5.772
Mg 7.065 3.094 3.653
S -1.906 1.031 8.111
S -0.236 3.094 5.211
S 3.890 3.094 1.397
S 1.747 1.031 8.028
S 5.873 1.031 4.214
S 7.543 3.094 1.314

***

(2)
24
Lattice="11.856 0.000 0.000 0.000 4.523 0.000 0.000 0.000 17.342" Properties=species:S:1:pos:R:3 comment="CsHoMgTe3 PBE-GGA relaxed" m_tot_mub_per_fu=0.00 spacegroup="No. 62" density_g_cm3=5.0 dft_energy_ev_per_atom=-3.97 pbc="T T T"
Cs 2.951 1.131 0.068
Cs 2.977 3.392 8.739
Cs 8.879 1.131 8.604
Cs 8.905 3.392 17.275
Ho 0.041 3.392 4.332
Ho 5.887 1.131 13.003
Ho 5.969 3.392 4.339
Ho 11.815 1.131 13.010
Mg 2.926 3.392 13.633
Mg 3.002 1.131 4.962
Mg 8.854 3.392 12.380
Mg 8.930 1.131 3.709
Te 0.560 3.392 15.069
Te 0.632 1.131 6.391
Te 2.923 1.131 11.944
Te 3.005 3.392 3.273
Te 5.296 3.392 15.062
Te 5.368 1.131 6.398
Te 6.488 3.392 10.944
Te 6.560 1.131 2.280
Te 8.851 1.131 14.069
Te 8.933 3.392 5.398
Te 11.224 3.392 10.952
Te 11.296 1.131 2.273

***

(3)
12
Lattice="10.217 0.000 0.000 0.000 4.548 0.000 -4.089 0.000 10.361" Properties=species:S:1:pos:R:3 comment="CsHoMgTe3 PBE-GGA relaxed" m_tot_mub_per_fu=0.00 spacegroup="No. 11" density_g_cm3=4.9 dft_energy_ev_per_atom=-3.96 pbc="T T T"
Cs 1.234 1.137 2.530
Cs 4.893 3.411 7.831
Ho -0.163 3.411 8.991
Ho 6.290 1.137 1.369
Mg -1.635 1.137 6.331
Mg 7.763 3.411 4.030
Te -2.307 1.137 8.992
Te -0.097 3.411 5.685
Te 4.214 3.411 1.637
Te 1.913 1.137 8.723
Te 6.224 1.137 4.676
Te 8.435 3.411 1.368

***

(4)
8
Lattice="3.730 0.000 0.000 0.000 7.768 0.000 0.000 0.000 6.727" Properties=species:S:1:pos:R:3 comment="CsHoNO PBE-GGA relaxed" m_tot_mub_per_fu=1.00 spacegroup="No. 26" density_g_cm3=5.6 dft_energy_ev_per_atom=-5.91 pbc="T T T"
Cs 0.000 1.251 0.000
Cs 0.000 6.517 3.364
Ho 1.865 2.698 3.340
Ho 1.865 5.070 6.704
N 1.865 3.192 5.517
N 1.865 4.576 2.153
O 0.000 1.680 2.985
O 0.000 6.088 6.349

***

(5)
8
Lattice="3.935 0.000 0.000 -1.967 3.408 0.000 0.000 0.000 15.864" Properties=species:S:1:pos:R:3 comment="Cs2HoNbS4 PBE-GGA relaxed" m_tot_mub_per_fu=1.47 spacegroup="No. 164" density_g_cm3=5.1 dft_energy_ev_per_atom=-5.45 pbc="T T T"
Cs 0.000 2.272 4.079
Cs 1.967 1.136 11.785
Ho 0.000 0.000 0.000
Nb 0.000 0.000 7.932
S 0.000 2.272 9.242
S 0.000 2.272 14.351
S 1.967 1.136 1.513
S 1.967 1.136 6.622

***

(6)
3
Lattice="0.000 3.935 3.935 3.935 0.000 3.935 3.935 3.935 0.000" Properties=species:S:1:pos:R:3 comment="CsNdHo PBE-GGA relaxed" m_tot_mub_per_fu=0.03 spacegroup="No. 216" density_g_cm3=6.0 relative_energy_kj_per_mol_atoms=0.2 pbc="T T T"
Cs 0.000 0.000 0.000
Nd 1.968 1.968 1.968
Ho 5.903 5.903 5.903

***

(7)
3
Lattice="0.000 4.336 4.336 4.336 0.000 4.336 4.336 4.336 0.000" Properties=species:S:1:pos:R:3 comment="CsNdHo PBE-GGA relaxed" m_tot_mub_per_fu=3.25 spacegroup="No. 216" density_g_cm3=4.5 relative_energy_kj_per_mol_atoms=0.0 pbc="T T T"
Cs 0.000 0.000 0.000
Nd 4.336 4.336 4.336
Ho 2.168 2.168 2.168

***

(8)
8
Lattice="4.158 0.000 0.000 -2.079 3.601 0.000 0.000 0.000 16.120" Properties=species:S:1:pos:R:3 comment="Cs2NdHoS4 PBE-GGA relaxed" m_tot_mub_per_fu=0.00 spacegroup="No. 164" density_g_cm3=4.8 dft_energy_ev_per_atom=-5.26 pbc="T T T"
Cs 0.000 2.401 3.973
Cs 2.079 1.200 12.147
Nd 0.000 0.000 8.060
Ho 0.000 0.000 0.000
S 0.000 2.401 9.612
S 0.000 2.401 14.691
S 2.079 1.200 1.429
S 2.079 1.200 6.508

***

(9)
8
Lattice="4.316 0.000 0.000 -2.158 3.738 0.000 0.000 0.000 16.741" Properties=species:S:1:pos:R:3 comment="Cs2NdHoSe4 PBE-GGA relaxed" m_tot_mub_per_fu=0.00 spacegroup="No. 164" density_g_cm3=5.5 dft_energy_ev_per_atom=-4.85 pbc="T T T"
Cs 0.000 2.492 4.242
Cs 2.158 1.246 12.499
Nd 0.000 0.000 0.000
Ho 0.000 0.000 8.371
Se 0.000 2.492 9.888
Se 0.000 2.492 15.102
Se 2.158 1.246 1.640
Se 2.158 1.246 6.853

***

(10)
8
Lattice="4.600 0.000 0.000 -2.300 3.983 0.000 0.000 0.000 17.873" Properties=species:S:1:pos:R:3 comment="Cs2NdHoTe4 PBE-GGA relaxed" m_tot_mub_per_fu=0.00 spacegroup="No. 164" density_g_cm3=5.5 dft_energy_ev_per_atom=-4.35 pbc="T T T"
Cs 0.000 2.656 4.528
Cs 2.300 1.328 13.344
Nd 0.000 0.000 0.000
Ho 0.000 0.000 8.936
Te 0.000 2.656 10.600
Te 0.000 2.656 16.080
Te 2.300 1.328 1.793
Te 2.300 1.328 7.273

***

(11)
12
Lattice="2.611 -8.837 0.000 2.611 8.837 0.000 0.000 0.000 10.795" Properties=species:S:1:pos:R:3 comment="CsNdHoTe3 PBE-GGA relaxed" m_tot_mub_per_fu=0.53 spacegroup="No. 63" density_g_cm3=5.5 dft_energy_ev_per_atom=-4.50 pbc="T T T"
Cs 2.611 4.788 8.096
Cs 2.611 -4.788 2.699
Nd 2.611 0.240 8.096
Nd 2.611 -0.240 2.699
Ho 0.000 0.000 0.000
Ho 0.000 0.000 5.398
Te 2.611 7.127 2.699
Te 2.611 1.902 0.416
Te 2.611 1.902 4.981
Te 2.611 -1.902 5.814
Te 2.611 -1.902 10.379
Te 2.611 -7.127 8.096

***

(12)
24
Lattice="16.247 0.000 0.000 0.000 4.087 0.000 0.000 0.000 10.967" Properties=species:S:1:pos:R:3 comment="CsHoNiSe3 PBE-GGA relaxed" m_tot_mub_per_fu=1.26 spacegroup="No. 62" density_g_cm3=5.4 relative_energy_kj_per_mol_atoms=0.2 pbc="T T T"
Cs 3.774 1.022 0.221
Cs 4.350 3.065 5.705
Cs 11.898 1.022 5.262
Cs 12.473 3.065 10.746
Ho 0.338 1.022 3.803
Ho 7.785 3.065 9.286
Ho 8.462 1.022 1.681
Ho 15.909 3.065 7.164
Ni 0.221 3.065 0.984
Ni 7.902 1.022 6.468
Ni 8.345 3.065 4.500
Ni 16.026 1.022 9.983
Se 1.016 3.065 9.754
Se 1.495 1.022 6.354
Se 1.962 3.065 2.668
Se 6.162 1.022 8.152
Se 6.629 3.065 0.870
Se 7.107 1.022 4.270
Se 9.140 3.065 6.697
Se 9.619 1.022 10.097
Se 10.086 3.065 2.815
Se 14.285 1.022 8.299
Se 14.752 3.065 4.613
Se 15.231 1.022 1.213

***

(13)
24
Lattice="11.330 0.000 0.000 0.000 4.332 0.000 0.000 0.000 13.284" Properties=species:S:1:pos:R:3 comment="CsHoNiSe3 PBE-GGA relaxed" m_tot_mub_per_fu=0.28 spacegroup="No. 62" density_g_cm3=6.0 relative_energy_kj_per_mol_atoms=10.1 pbc="T T T"
Cs 2.030 1.083 0.108
Cs 3.635 3.249 6.750
Cs 7.695 1.083 6.534
Cs 9.300 3.249 13.175
Ho 0.024 1.083 9.075
Ho 5.641 3.249 2.433
Ho 5.689 1.083 10.850
Ho 11.306 3.249 4.209
Ni 2.680 1.083 3.932
Ni 2.985 3.249 10.574
Ni 8.345 1.083 2.710
Ni 8.650 3.249 9.351
Se 0.622 3.249 10.857
Se 1.043 1.083 5.727
Se 2.614 3.249 2.994
Se 3.051 1.083 9.636
Se 4.622 3.249 12.369
Se 5.043 1.083 4.215
Se 6.287 3.249 9.069
Se 6.708 1.083 0.914
Se 8.279 3.249 3.647
Se 8.716 1.083 10.289
Se 10.287 3.249 7.556
Se 10.708 1.083 2.427

***

(14)
24
Lattice="10.867 0.000 0.000 0.000 4.101 0.000 0.000 0.000 15.627" Properties=species:S:1:pos:R:3 comment="CsHoNiSe3 PBE-GGA relaxed" m_tot_mub_per_fu=1.82 spacegroup="No. 62" density_g_cm3=5.7 relative_energy_kj_per_mol_atoms=1.9 pbc="T T T"
Cs 2.651 1.025 0.169
Cs 2.783 3.076 7.982
Cs 8.084 1.025 7.645
Cs 8.216 3.076 15.459
Ho 0.007 1.025 11.676
Ho 5.426 3.076 3.863
Ho 5.441 1.025 11.765
Ho 10.859 3.076 3.951
Ni 2.693 1.025 4.476
Ni 2.741 3.076 12.290
Ni 8.126 1.025 3.338
Ni 8.174 3.076 11.151
Se 0.697 1.025 5.791
Se 0.697 3.076 13.530
Se 2.697 3.076 3.162
Se 2.737 1.025 10.975
Se 4.737 1.025 5.716
Se 4.736 3.076 13.604
Se 6.130 1.025 2.023
Se 6.130 3.076 9.911
Se 8.130 3.076 4.652
Se 8.170 1.025 12.465
Se 10.170 1.025 2.097
Se 10.170 3.076 9.836

***

(15)
12
Lattice="9.706 0.000 0.000 0.000 4.082 0.000 -3.829 0.000 9.316" Properties=species:S:1:pos:R:3 comment="CsHoNiSe3 PBE-GGA relaxed" m_tot_mub_per_fu=1.29 spacegroup="No. 11" density_g_cm3=5.3 relative_energy_kj_per_mol_atoms=0.0 pbc="T T T"
Cs 1.137 1.021 2.302
Cs 4.740 3.062 7.014
Ho -0.111 3.062 8.024
Ho 5.988 1.021 1.292
Ni -1.539 1.021 5.558
Ni 7.416 3.062 3.757
Se -2.091 1.021 7.915
Se -0.365 3.062 5.098
Se 3.994 3.062 1.509
Se 1.883 1.021 7.806
Se 6.242 1.021 4.218
Se 7.967 3.062 1.400

***

(16)
12
Lattice="2.037 -8.063 0.000 2.037 8.063 0.000 0.000 0.000 10.761" Properties=species:S:1:pos:R:3 comment="CsHoNiSe3 PBE-GGA relaxed" m_tot_mub_per_fu=1.78 spacegroup="No. 63" density_g_cm3=5.6 relative_energy_kj_per_mol_atoms=1.6 pbc="T T T"
Cs 2.037 4.141 8.071
Cs 2.037 -4.141 2.690
Ho 2.037 0.000 0.000
Ho 2.037 0.000 5.381
Ni 2.037 7.545 2.690
Ni 2.037 -7.545 8.071
Se 2.037 6.201 0.707
Se 2.037 6.201 4.673
Se 2.037 0.823 2.690
Se 2.037 -0.823 8.071
Se 2.037 -6.201 6.088
Se 2.037 -6.201 10.054

***

(17)
12
Lattice="8.363 -2.152 0.000 8.363 2.152 0.000 -1.498 0.000 9.084" Properties=species:S:1:pos:R:3 comment="CsHoNiSe3 PBE-GGA relaxed" m_tot_mub_per_fu=0.46 spacegroup="No. 12" density_g_cm3=6.0 relative_energy_kj_per_mol_atoms=22.6 pbc="T T T"
Cs 2.522 0.000 0.587
Cs 12.707 0.000 8.498
Ho 1.885 0.000 5.232
Ho 13.344 0.000 3.852
Ni 7.178 0.000 6.392
Ni 8.051 0.000 2.692
Se -0.749 0.000 4.542
Se 4.713 0.000 5.787
Se 5.753 0.000 2.163
Se 8.363 0.000 0.000
Se 9.476 0.000 6.921
Se 10.516 0.000 3.297

***

(18)
24
Lattice="10.780 0.000 0.000 0.000 4.147 0.000 0.000 0.000 15.120" Properties=species:S:1:pos:R:3 comment="CsHoNiSe3 PBE-GGA relaxed" m_tot_mub_per_fu=1.63 spacegroup="No. 62" density_g_cm3=5.8 relative_energy_kj_per_mol_atoms=10.4 pbc="T T T"
Cs 0.345 1.037 2.415
Cs 5.045 3.110 9.975
Cs 5.734 1.037 5.145
Cs 10.435 3.110 12.705
Ho 1.581 3.110 6.593
Ho 3.809 1.037 14.153
Ho 6.971 3.110 0.967
Ho 9.199 1.037 8.527
Ni 1.629 1.037 9.559
Ni 3.761 3.110 1.999
Ni 7.019 1.037 13.122
Ni 9.151 3.110 5.562
Se 0.418 3.110 9.237
Se 2.262 3.110 0.096
Se 2.550 1.037 11.684
Se 2.840 3.110 4.124
Se 3.128 1.037 7.656
Se 4.971 1.037 1.677
Se 5.808 3.110 13.443
Se 7.652 3.110 7.464
Se 7.940 1.037 10.996
Se 8.230 3.110 3.436
Se 8.518 1.037 15.024
Se 10.361 1.037 5.883

***

(19)
24
Lattice="11.477 0.000 0.000 0.000 4.393 0.000 0.000 0.000 16.058" Properties=species:S:1:pos:R:3 comment="CsHoNiTe3 PBE-GGA relaxed" m_tot_mub_per_fu=0.53 spacegroup="No. 62" density_g_cm3=6.1 relative_energy_kj_per_mol_atoms=9.2 pbc="T T T"
Cs 0.447 1.098 2.570
Cs 5.292 3.294 10.599
Cs 6.185 1.098 5.459
Cs 11.030 3.294 13.488
Ho 1.617 3.294 7.055
Ho 4.121 1.098 15.084
Ho 7.356 3.294 0.974
Ho 9.860 1.098 9.003
Ni 1.704 1.098 10.133
Ni 4.035 3.294 2.104
Ni 7.442 1.098 13.954
Ni 9.773 3.294 5.925
Te 0.438 3.294 9.903
Te 2.382 3.294 0.119
Te 2.672 1.098 12.452
Te 3.066 3.294 4.423
Te 3.356 1.098 8.148
Te 5.301 1.098 1.874
Te 6.176 3.294 14.184
Te 8.121 3.294 7.910
Te 8.411 1.098 11.635
Te 8.805 3.294 3.606
Te 9.095 1.098 15.939
Te 11.039 1.098 6.155